No. 1
A plane-wave DFT calculation with PBE-GGA was carried out for crystalline ErInBi at its relaxed geometry.

- energy of formation (meV per atom) = -266
- space group = R-3m
- N(E_F) (states/eV per cell) = 4.40
- calculated total energy (eV/cell) = -23.96

Cell lengths 9.0208, 9.0208, 9.0208 Å; angles 32.37, 32.37, 32.37 degrees
Positions (direct):
1 Er 0.0769 0.0769 0.0769
2 Er 0.9231 0.9231 0.9231
3 In 0.3496 0.3496 0.3496
4 In 0.6504 0.6504 0.6504
5 Bi 0.2142 0.2142 0.2142
6 Bi 0.7858 0.7858 0.7858



No. 2
A plane-wave DFT calculation with PBE-GGA was carried out for crystalline Ba6SeI3N2 at its relaxed geometry.

- formation energy without anion corrections (eV per atom) = -1.23
- space group = C2/m
- N(E_F) (states/eV per cell) = 4.58
- calculated total energy (eV/cell) = -51.06

Cell lengths 7.6538, 7.6538, 8.7379 Å; angles 98.46, 98.46, 120.00 degrees
Positions (direct):
1 Ba 0.0680 0.4379 0.8134
2 Ba 0.1923 0.1923 0.1834
3 Ba 0.4379 0.0680 0.8134
4 Ba 0.5621 0.9320 0.1866
5 Ba 0.8077 0.8077 0.8166
6 Ba 0.9320 0.5621 0.1866
7 Se 0.5000 0.5000 0.0000
8 I 0.0000 0.0000 0.5000
9 I 0.3425 0.6575 0.5000
10 I 0.6575 0.3425 0.5000
11 N 0.1678 0.8322 0.0000
12 N 0.8322 0.1678 0.0000



- What is the calculated total energy in the first record?
  -23.96 eV/cell